(A)
Material: USnH
Method: DFT, PBE
State: optimized geometry

Summary:
The value obtained for the density of states at the Fermi level is 1.323 states/eV/atom. The calculation puts the volume at 18.070 Å³ per atom.

Geometry as CIF:
```
data_USnH
_chemical_formula_sum 'U2 Sn2 H2'
_space_group_name_H-M_alt 'P 1 21/m 1'
_space_group_IT_number 11
_cell_length_a 4.105
_cell_length_b 4.342
_cell_length_c 6.422
_cell_angle_alpha 90.00
_cell_angle_beta 108.74
_cell_angle_gamma 90.00
loop_
_space_group_symop_operation_xyz
'x,y,z'
'-x,-y,-z'
'-x,y+1/2,-z'
'x,-y+1/2,z'
loop_
_atom_site_label
_atom_site_fract_x
_atom_site_fract_y
_atom_site_fract_z
_atom_site_occupancy
U1 0.167 0.250 0.334 1
Sn1 0.427 0.250 0.852 1
H1 0.248 0.750 0.496 1
```

=====

(B)
Material: USnH
Method: DFT, PBE
State: optimized geometry

Summary:
The value obtained for the density of states at the Fermi level is 1.833 states/eV/atom. The calculation puts the volume at 18.802 Å³ per atom.

Geometry as CIF:
```
data_USnH
_chemical_formula_sum 'U1 Sn1 H1'
_space_group_name_H-M_alt 'P 3 m 1'
_space_group_IT_number 156
_cell_length_a 3.5363
_cell_length_b 3.5363
_cell_length_c 5.2082
_cell_angle_alpha 90.00
_cell_angle_beta 90.00
_cell_angle_gamma 120.00
loop_
_space_group_symop_operation_xyz
'x,y,z'
'-y,x-y,z'
'-x+y,-x,z'
'-y,-x,z'
'-x+y,y,z'
'x,x-y,z'
loop_
_atom_site_label
_atom_site_fract_x
_atom_site_fract_y
_atom_site_fract_z
_atom_site_occupancy
U1 0.0000 0.0000 0.0000 1
Sn1 0.3333 0.6667 0.5036 1
H1 0.6667 0.3333 0.1116 1
```

=====

Best to worst by energy: (A), (B).

=====

(A)
Material: VSn2H
Method: DFT, PBE
State: optimized geometry

Summary:
The value obtained for the density of states at the Fermi level is 0.826 states/eV/atom. The calculation puts the volume at 16.968 Å³ per atom.

Geometry as CIF:
```
data_VSn2H
_chemical_formula_sum 'V4 Sn8 H4'
_space_group_name_H-M_alt 'I -4 2 d'
_space_group_IT_number 122
_space_group_name_Hall 'I -4 2bw'
_cell_length_a 6.518
_cell_length_b 6.518
_cell_length_c 6.390
_cell_angle_alpha 90.00
_cell_angle_beta 90.00
_cell_angle_gamma 90.00
loop_
_atom_site_label
_atom_site_fract_x
_atom_site_fract_y
_atom_site_fract_z
_atom_site_occupancy
V1 0.000 0.000 0.000 1
Sn1 0.176 0.250 0.625 1
H1 0.000 0.000 0.500 1
```

=====

(B)
Material: VSn2H
Method: DFT, PBE
State: optimized geometry

Summary:
The value obtained for the density of states at the Fermi level is 0.946 states/eV/atom. The calculation puts the volume at 18.237 Å³ per atom.

Geometry as CIF:
```
data_VSn2H
_chemical_formula_sum 'V4 Sn8 H4'
_space_group_name_H-M_alt 'F m -3 m'
_space_group_IT_number 225
_space_group_name_Hall '-F 4 2 3'
_cell_length_a 6.633
_cell_length_b 6.633
_cell_length_c 6.633
_cell_angle_alpha 90.00
_cell_angle_beta 90.00
_cell_angle_gamma 90.00
loop_
_atom_site_label
_atom_site_fract_x
_atom_site_fract_y
_atom_site_fract_z
_atom_site_occupancy
V1 0.000 0.000 0.000 1
Sn1 0.250 0.250 0.250 1
H1 0.000 0.000 0.500 1
```

=====

Best to worst by energy: (A), (B).

=====

(A)
Material: V2SnH
Method: DFT, PBE
State: optimized geometry

Summary:
The value obtained for the density of states at the Fermi level is 0.551 states/eV/atom. The calculation puts the volume at 13.194 Å³ per atom.

Geometry as CIF:
```
data_V2SnH
_chemical_formula_sum 'V6 Sn3 H3'
_space_group_name_H-M_alt 'R -3 m'
_space_group_IT_number 166
_space_group_name_Hall '-R 3 2"'
_cell_length_a 3.0952
_cell_length_b 3.0952
_cell_length_c 19.0830
_cell_angle_alpha 90.00
_cell_angle_beta 90.00
_cell_angle_gamma 120.00
loop_
_atom_site_label
_atom_site_fract_x
_atom_site_fract_y
_atom_site_fract_z
_atom_site_occupancy
V1 0.0000 0.0000 0.2115 1
Sn1 0.0000 0.0000 0.0000 1
H1 0.0000 0.0000 0.5000 1
```

=====

(B)
Material: V2SnH
Method: DFT, PBE
State: optimized geometry

Summary:
The value obtained for the density of states at the Fermi level is 0.581 states/eV/atom. The calculation puts the volume at 13.844 Å³ per atom.

Geometry as CIF:
```
data_V2SnH
_chemical_formula_sum 'V8 Sn4 H4'
_space_group_name_H-M_alt 'I 41/a m d'
_space_group_IT_number 141
_cell_length_a 5.090
_cell_length_b 5.090
_cell_length_c 8.549
_cell_angle_alpha 90.00
_cell_angle_beta 90.00
_cell_angle_gamma 90.00
loop_
_space_group_symop_operation_xyz
'x,y,z'
'-x,-y,-z'
'-y+1/4,x+3/4,z+1/4'
'y+1/4,-x+3/4,-z+1/4'
'-x+1/2,-y,z+1/2'
'x+1/2,y,-z+1/2'
'y+1/4,-x+1/4,z+3/4'
'-y+1/4,x+1/4,-z+3/4'
'x,-y,-z'
'-x,y,z'
'-y+1/4,-x+1/4,-z+3/4'
'y+1/4,x+1/4,z+3/4'
'-x+1/2,y,-z+1/2'
'x+1/2,-y,z+1/2'
'y+1/4,x+3/4,-z+1/4'
'-y+1/4,-x+3/4,z+1/4'
'x+1/2,y+1/2,z+1/2'
'-x+1/2,-y+1/2,-z+1/2'
'-y+3/4,x+1/4,z+3/4'
'y+3/4,-x+1/4,-z+3/4'
'-x,-y+1/2,z'
'x,y+1/2,-z'
'y+3/4,-x+3/4,z+1/4'
'-y+3/4,x+3/4,-z+1/4'
'x+1/2,-y+1/2,-z+1/2'
'-x+1/2,y+1/2,z+1/2'
'-y+3/4,-x+3/4,-z+1/4'
'y+3/4,x+3/4,z+1/4'
'-x,y+1/2,-z'
'x,-y+1/2,z'
'y+3/4,x+1/4,-z+3/4'
'-y+3/4,-x+1/4,z+3/4'
loop_
_atom_site_label
_atom_site_fract_x
_atom_site_fract_y
_atom_site_fract_z
_atom_site_occupancy
V1 0.000 0.000 0.000 1
Sn1 0.000 0.250 0.375 1
H1 0.000 0.250 0.875 1
```

=====

(C)
Material: V2SnH
Method: DFT, PBE
State: optimized geometry

Summary:
The value obtained for the density of states at the Fermi level is 1.324 states/eV/atom. The calculation puts the volume at 14.609 Å³ per atom.

Geometry as CIF:
```
data_V2SnH
_chemical_formula_sum 'V8 Sn4 H4'
_space_group_name_H-M_alt 'F m -3 m'
_space_group_IT_number 225
_space_group_name_Hall '-F 4 2 3'
_cell_length_a 6.160
_cell_length_b 6.160
_cell_length_c 6.160
_cell_angle_alpha 90.00
_cell_angle_beta 90.00
_cell_angle_gamma 90.00
loop_
_atom_site_label
_atom_site_fract_x
_atom_site_fract_y
_atom_site_fract_z
_atom_site_occupancy
V1 0.250 0.250 0.250 1
Sn1 0.000 0.000 0.000 1
H1 0.000 0.000 0.500 1
```

=====

Best to worst by energy: (A), (B), (C).

=====

(A)
Material: SnHW3
Method: DFT, PBE
State: optimized geometry

Summary:
The value obtained for the density of states at the Fermi level is 1.113 states/eV/atom. The calculation puts the volume at 14.125 Å³ per atom.

Geometry as CIF:
```
data_SnHW3
_chemical_formula_sum 'Sn1 H1 W3'
_space_group_name_H-M_alt 'P m -3 m'
_space_group_IT_number 221
_space_group_name_Hall '-P 4 2 3'
_cell_length_a 4.133
_cell_length_b 4.133
_cell_length_c 4.133
_cell_angle_alpha 90.00
_cell_angle_beta 90.00
_cell_angle_gamma 90.00
loop_
_atom_site_label
_atom_site_fract_x
_atom_site_fract_y
_atom_site_fract_z
_atom_site_occupancy
Sn1 0.000 0.000 0.000 1
H1 0.500 0.500 0.500 1
W1 0.000 0.500 0.500 1
```

=====

(B)
Material: SnHW3
Method: DFT, PBE
State: optimized geometry

Summary:
The value obtained for the density of states at the Fermi level is 1.860 states/eV/atom. The calculation puts the volume at 24.105 Å³ per atom.

Geometry as CIF:
```
data_SnHW3
_chemical_formula_sum 'Sn1 H1 W3'
_space_group_name_H-M_alt 'P m -3 m'
_space_group_IT_number 221
_space_group_name_Hall '-P 4 2 3'
_cell_length_a 4.940
_cell_length_b 4.940
_cell_length_c 4.940
_cell_angle_alpha 90.00
_cell_angle_beta 90.00
_cell_angle_gamma 90.00
loop_
_atom_site_label
_atom_site_fract_x
_atom_site_fract_y
_atom_site_fract_z
_atom_site_occupancy
Sn1 0.000 0.000 0.000 1
H1 0.500 0.500 0.500 1
W1 0.000 0.000 0.500 1
```

=====

Best to worst by energy: (A), (B).

=====

(A)
Material: YSn3H
Method: DFT, PBE
State: optimized geometry

Summary:
The value obtained for the density of states at the Fermi level is 0.376 states/eV/atom. The calculation puts the volume at 21.633 Å³ per atom.

Geometry as CIF:
```
data_YSn3H
_chemical_formula_sum 'Y1 Sn3 H1'
_space_group_name_H-M_alt 'P m -3 m'
_space_group_IT_number 221
_space_group_name_Hall '-P 4 2 3'
_cell_length_a 4.765
_cell_length_b 4.765
_cell_length_c 4.765
_cell_angle_alpha 90.00
_cell_angle_beta 90.00
_cell_angle_gamma 90.00
loop_
_atom_site_label
_atom_site_fract_x
_atom_site_fract_y
_atom_site_fract_z
_atom_site_occupancy
Y1 0.000 0.000 0.000 1
Sn1 0.000 0.500 0.500 1
H1 0.500 0.500 0.500 1
```

=====

(B)
Material: YSn3H
Method: DFT, PBE
State: optimized geometry

Summary:
The value obtained for the density of states at the Fermi level is 0.907 states/eV/atom. The calculation puts the volume at 40.321 Å³ per atom.

Geometry as CIF:
```
data_YSn3H
_chemical_formula_sum 'Y1 Sn3 H1'
_space_group_name_H-M_alt 'P m -3 m'
_space_group_IT_number 221
_space_group_name_Hall '-P 4 2 3'
_cell_length_a 5.864
_cell_length_b 5.864
_cell_length_c 5.864
_cell_angle_alpha 90.00
_cell_angle_beta 90.00
_cell_angle_gamma 90.00
loop_
_atom_site_label
_atom_site_fract_x
_atom_site_fract_y
_atom_site_fract_z
_atom_site_occupancy
Y1 0.000 0.000 0.000 1
Sn1 0.000 0.000 0.500 1
H1 0.500 0.500 0.500 1
```

=====

Best to worst by energy: (A), (B).

=====

(A)
Material: Y2Sn2H
Method: DFT, PBE
State: optimized geometry

Summary:
The value obtained for the density of states at the Fermi level is 0.648 states/eV/atom. The calculation puts the volume at 23.578 Å³ per atom.

Geometry as CIF:
```
data_Y2Sn2H
_chemical_formula_sum 'Y4 Sn4 H2'
_space_group_name_H-M_alt 'P 4/m b m'
_space_group_IT_number 127
_space_group_name_Hall '-P 4 2ab'
_cell_length_a 6.848
_cell_length_b 6.848
_cell_length_c 5.028
_cell_angle_alpha 90.00
_cell_angle_beta 90.00
_cell_angle_gamma 90.00
loop_
_atom_site_label
_atom_site_fract_x
_atom_site_fract_y
_atom_site_fract_z
_atom_site_occupancy
Y1 0.170 0.330 0.000 1
Sn1 0.153 0.653 0.500 1
H1 0.000 0.000 0.000 1
```

=====

(B)
Material: Y2Sn2H
Method: DFT, PBE
State: optimized geometry

Summary:
The value obtained for the density of states at the Fermi level is 0.765 states/eV/atom. The calculation puts the volume at 26.370 Å³ per atom.

Geometry as CIF:
```
data_Y2Sn2H
_chemical_formula_sum 'Y4 Sn4 H2'
_space_group_name_H-M_alt 'P 4/m b m'
_space_group_IT_number 127
_space_group_name_Hall '-P 4 2ab'
_cell_length_a 7.985
_cell_length_b 7.985
_cell_length_c 4.135
_cell_angle_alpha 90.00
_cell_angle_beta 90.00
_cell_angle_gamma 90.00
loop_
_atom_site_label
_atom_site_fract_x
_atom_site_fract_y
_atom_site_fract_z
_atom_site_occupancy
Y1 0.179 0.321 0.000 1
Sn1 0.126 0.626 0.500 1
H1 0.000 0.000 0.500 1
```

=====

Best to worst by energy: (A), (B).